1.
LiEuMg2 | Alexandria via LeMat-Bulk | GGA-PBE | optimized geometry; calculated formation energy = -48 meV per atom; SG = No. 123; density of states at the Fermi level = 0.93 states/eV/atom
1.0
3.6259 0.0000 0.0000
0.0000 3.6259 0.0000
0.0000 0.0000 8.0551
Li Eu Mg
1 1 2
Direct
0.0000 0.0000 0.0000
0.0000 0.0000 0.5000
0.5000 0.5000 0.1982
0.5000 0.5000 0.8018


2.
LiPrTh2Se4 | Alexandria via LeMat-Bulk | GGA-PBE | optimized geometry; ΔE_f (raw) = -1.58 eV/atom; SG = No. 10; density of states at the Fermi level = 0.56 states/eV/atom
1.0
7.1589 0.0000 0.0000
0.0000 4.1235 0.0000
-2.3424 0.0000 6.9737
Li Pr Th Se
1 1 2 4
Direct
0.0000 0.0000 0.0000
0.5000 0.5000 0.0000
0.0000 0.5000 0.5000
0.5000 0.0000 0.5000
0.2343 0.5000 0.2375
0.2375 0.0000 0.7582
0.7625 0.0000 0.2418
0.7657 0.5000 0.7625


3.
MgCd8In4 | Alexandria via LeMat-Bulk | GGA-PBE | optimized geometry; calculated formation energy = 46 meV per atom; SG = No. 8; density of states at the Fermi level = 0.30 states/eV/atom
1.0
4.5860 -2.5397 0.0000
4.5860 2.5397 0.0000
-0.6707 0.0000 14.1198
Mg Cd In
1 8 4
Direct
0.0000 0.0000 0.0000
0.0654 0.0654 0.7651
0.0755 0.0755 0.2522
0.3109 0.3109 0.0916
0.4223 0.4223 0.6589
0.4282 0.4282 0.3020
0.6906 0.6906 0.9101
0.7371 0.7371 0.6930
0.7596 0.7596 0.3366
0.2429 0.2429 0.4751
0.3670 0.3670 0.8745
0.6359 0.6359 0.1234
0.9396 0.9396 0.5250


4.
Ac3Mg2Rh3 | Alexandria via LeMat-Bulk | GGA-PBE | optimized geometry; calculated formation energy = -519 meV per atom; SG = No. 193; density of states at the Fermi level = 0.51 states/eV/atom
1.0
8.6937 0.0000 0.0000
-4.3469 7.5290 0.0000
0.0000 0.0000 6.0556
Ac Mg Rh
6 4 6
Direct
0.0000 0.2725 0.2500
0.0000 0.7275 0.7500
0.2725 0.0000 0.2500
0.2725 0.2725 0.7500
0.7275 0.0000 0.7500
0.7275 0.7275 0.2500
0.3333 0.6667 0.0000
0.3333 0.6667 0.5000
0.6667 0.3333 0.0000
0.6667 0.3333 0.5000
0.0000 0.3939 0.7500
0.0000 0.6061 0.2500
0.3939 0.0000 0.7500
0.3939 0.3939 0.2500
0.6061 0.0000 0.2500
0.6061 0.6061 0.7500